# 1
Material: InGaSnS2
Method: DFT, meta-GGA SCAN
State: PBEsol geometry

Properties
As for the raw formation energy: 1.6 eV/f.u. Its crystal system is tetragonal. The size of the total moment is 0.00 μB/f.u. As for the density of states at the Fermi level: 1.907 states/eV per cell.

Cell: 5.087 5.087 5.432 Å, 90.00 90.00 90.00°
Sites, in units of the cell vectors:
In (0.000, 0.000, 0.000)
Ga (0.500, 0.500, 0.000)
Sn (0.000, 0.000, 0.500)
S (0.000, 0.500, 0.500)
S (0.500, 0.000, 0.500)

***

# 2
Material: Sc2InGa2
Method: DFT, meta-GGA SCAN
State: PBEsol geometry

Properties
Its crystal system is tetragonal. The size of the total moment is 0.00 μB/f.u. As for the density of states at the Fermi level: 5.710 states/eV per cell. The energy of formation is -0.685 eV/atom.

Cell: 6.896 6.896 4.053 Å, 90.00 90.00 90.00°
Sites, in units of the cell vectors:
Sc (0.171, 0.329, 0.000)
Sc (0.329, 0.829, 0.000)
Sc (0.671, 0.171, 0.000)
Sc (0.829, 0.671, 0.000)
In (0.000, 0.000, 0.500)
In (0.500, 0.500, 0.500)
Ga (0.126, 0.626, 0.500)
Ga (0.374, 0.126, 0.500)
Ga (0.626, 0.874, 0.500)
Ga (0.874, 0.374, 0.500)